DFT (PBE) results for a relaxed structure of CeNi2PN.

## Properties
Size of the total moment = 0.0000 μB per atom
Density of states at the Fermi level = 5.7 states/eV/cell
E_form (uncorrected) = -1.00 eV/atom
V = 65 Å³/f.u.

a = 3.5478 Å, b = 5.8188 Å, c = 6.6565 Å
α = 90.00°, β = 90.00°, γ = 107.75°
Last column: nearest neighbours and their distance in Å.
Sites, in units of the cell vectors:
1 Ni 0.1749 0.3498 0.5566  1 N 1.97
2 Ni 0.8251 0.6502 0.0566  1 N 1.97
3 N 0.0000 0.0000 0.5000  2 Ni 1.97
4 Ni 0.8251 0.6502 0.4434  1 N 1.97
5 P 0.7337 0.4674 0.7500  6 Ni 2.28-2.29
6 N 0.0000 0.0000 0.0000  2 Ni 1.97
7 Ce 0.5369 0.0738 0.2500  4 N 2.47
8 Ni 0.1749 0.3498 0.9434  1 N 1.97
9 Ce 0.4631 0.9262 0.7500  4 N 2.47
10 P 0.2663 0.5326 0.2500  6 Ni 2.28-2.29

DFT (PBE) results for a relaxed structure of Ce2PaNiN4.

## Properties
Size of the total moment = 0.0149 μB per atom
Density of states at the Fermi level = 5.8 states/eV/cell
E_form (uncorrected) = -0.74 eV/atom
V = 105 Å³/f.u.

a = 5.8647 Å, b = 5.1456 Å, c = 5.1456 Å
α = 71.05°, β = 55.26°, γ = 55.26°
Last column: nearest neighbours and their distance in Å.
Sites, in units of the cell vectors:
1 Pa 0.0000 0.0000 0.0000  4 N 2.32
2 Ni 0.5000 0.0000 0.0000  4 N 2.02
3 N 0.1002 0.3761 0.0000  1 Ni 2.02
4 N 0.8998 0.0000 0.6239  1 Ni 2.02
5 N 0.5236 0.0000 0.3761  1 Ni 2.02
6 N 0.4764 0.6239 0.0000  1 Ni 2.02
7 Ce 0.5000 0.5000 0.5000  8 N 2.51-2.76
8 Ce 0.0000 0.5000 0.5000  8 N 2.51-2.76

DFT (PBE) results for a relaxed structure of CePa2NiN4.

## Properties
Size of the total moment = 0.1044 μB per atom
Density of states at the Fermi level = 16.6 states/eV/cell
E_form (uncorrected) = -1.35 eV/atom
V = 115 Å³/f.u.

a = 3.4980 Å, b = 5.9888 Å, c = 11.4305 Å
α = 90.00°, β = 90.00°, γ = 106.98°
Last column: nearest neighbours and their distance in Å.
Sites, in units of the cell vectors:
1 Ni 0.1632 0.3264 0.2500  4 N 1.99-2.15
2 N 0.0000 0.0000 0.5000  4 Pa 2.40
3 N 0.5542 0.1084 0.2500  2 Ni 2.15, 2 Pa 2.35
4 Ce 0.1059 0.2119 0.7500  6 N 2.53-2.75
5 N 0.2695 0.5390 0.3872  1 Ni 1.99
6 Pa 0.6310 0.2620 0.4404  6 N 2.28-2.44
7 N 0.0000 0.0000 0.0000  4 Pa 2.40
8 N 0.7305 0.4610 0.6128  1 Ni 1.99
9 Pa 0.3690 0.7380 0.9404  6 N 2.28-2.44
10 N 0.7305 0.4610 0.8872  1 Ni 1.99
11 N 0.4458 0.8916 0.7500  2 Ni 2.15, 2 Pa 2.35
12 Ce 0.8941 0.7881 0.2500  6 N 2.53-2.75
13 Pa 0.3690 0.7380 0.5596  6 N 2.28-2.44
14 Ni 0.8368 0.6736 0.7500  4 N 1.99-2.15
15 Pa 0.6310 0.2620 0.0596  6 N 2.28-2.44
16 N 0.2695 0.5390 0.1128  1 Ni 1.99

DFT (PBE) results for a relaxed structure of Ce2PmNiN4.

## Properties
Size of the total moment = 0.1250 μB per atom
Density of states at the Fermi level = 10.5 states/eV/cell
E_form (uncorrected) = -1.11 eV/atom
V = 117 Å³/f.u.

a = 3.4808 Å, b = 6.0203 Å, c = 11.6202 Å
α = 90.00°, β = 90.00°, γ = 106.80°
Last column: nearest neighbours and their distance in Å.
Sites, in units of the cell vectors:
1 N 0.4468 0.8936 0.7500  2 Ni 2.11
2 N 0.2683 0.5365 0.1209  1 Ni 1.98
3 N 0.5532 0.1064 0.2500  2 Ni 2.11
4 N 0.0000 0.0000 0.5000  4 Ce 2.40
5 Ce 0.6313 0.2625 0.4431  6 N 2.37-2.47
6 Pm 0.1065 0.2131 0.7500  6 N 2.53-2.71
7 N 0.2683 0.5365 0.3791  1 Ni 1.98
8 N 0.0000 0.0000 0.0000  4 Ce 2.40
9 Ce 0.3687 0.7375 0.5569  6 N 2.37-2.47
10 Ce 0.3687 0.7375 0.9431  6 N 2.37-2.47
11 Ni 0.1561 0.3123 0.2500  4 N 1.98-2.11
12 Pm 0.8935 0.7869 0.2500  6 N 2.53-2.71
13 N 0.7317 0.4635 0.6209  1 Ni 1.98
14 Ce 0.6313 0.2625 0.0569  6 N 2.37-2.47
15 N 0.7317 0.4635 0.8791  1 Ni 1.98
16 Ni 0.8439 0.6877 0.7500  4 N 1.98-2.11

DFT (PBE) results for a relaxed structure of CePu2NiN4.

## Properties
Size of the total moment = 1.0009 μB per atom
Density of states at the Fermi level = 29.7 states/eV/cell
E_form (uncorrected) = -1.08 eV/atom
V = 109 Å³/f.u.

a = 3.4314 Å, b = 5.8337 Å, c = 11.4415 Å
α = 90.00°, β = 90.00°, γ = 107.10°
Last column: nearest neighbours and their distance in Å.
Sites, in units of the cell vectors:
1 N 0.4477 0.8953 0.7500  2 Ni 2.11
2 Pu 0.6305 0.2609 0.0573  6 N 2.27-2.39
3 N 0.7327 0.4653 0.8854  1 Ni 1.94
4 N 0.0000 0.0000 0.0000  4 Pu 2.34
5 N 0.2673 0.5347 0.3854  1 Ni 1.94
6 Pu 0.6305 0.2609 0.4427  6 N 2.27-2.39
7 Ce 0.8950 0.7900 0.2500  6 N 2.45-2.71
8 N 0.7327 0.4653 0.6146  1 Ni 1.94
9 Pu 0.3695 0.7391 0.5573  6 N 2.27-2.39
10 Pu 0.3695 0.7391 0.9427  6 N 2.27-2.39
11 N 0.0000 0.0000 0.5000  4 Pu 2.34
12 Ce 0.1050 0.2100 0.7500  6 N 2.45-2.71
13 Ni 0.1619 0.3237 0.2500  4 N 1.94-2.11
14 N 0.5523 0.1047 0.2500  2 Ni 2.11
15 Ni 0.8381 0.6763 0.7500  4 N 1.94-2.11
16 N 0.2673 0.5347 0.1146  1 Ni 1.94

DFT (PBE) results for a relaxed structure of Ce2PuNiN4.

## Properties
Size of the total moment = 0.5009 μB per atom
Density of states at the Fermi level = 17.2 states/eV/cell
E_form (uncorrected) = -1.04 eV/atom
V = 113 Å³/f.u.

a = 3.4242 Å, b = 5.9137 Å, c = 11.6770 Å
α = 90.00°, β = 90.00°, γ = 106.83°
Last column: nearest neighbours and their distance in Å.
Sites, in units of the cell vectors:
1 N 0.2742 0.5483 0.1254  1 Ni 1.96
2 Ce 0.3688 0.7377 0.9405  6 N 2.37-2.48
3 N 0.7258 0.4517 0.6254  1 Ni 1.96
4 N 0.5396 0.0791 0.2500  2 Ni 2.18, 2 Pu 2.41
5 N 0.7258 0.4517 0.8746  1 Ni 1.96
6 N 0.0000 0.0000 0.0000  4 Ce 2.37
7 Ce 0.3688 0.7377 0.5595  6 N 2.37-2.48
8 N 0.4604 0.9209 0.7500  2 Ni 2.18, 2 Pu 2.41
9 Ni 0.8414 0.6827 0.7500  4 N 1.96-2.18
10 Pu 0.8899 0.7798 0.2500  6 N 2.41-2.60
11 Ni 0.1586 0.3173 0.2500  4 N 1.96-2.18
12 Pu 0.1101 0.2202 0.7500  6 N 2.41-2.60
13 N 0.0000 0.0000 0.5000  4 Ce 2.37
14 Ce 0.6312 0.2623 0.0595  6 N 2.37-2.48
15 Ce 0.6312 0.2623 0.4405  6 N 2.37-2.48
16 N 0.2742 0.5483 0.3746  1 Ni 1.96

DFT (PBE) results for a relaxed structure of CePuNiN3.

## Properties
Size of the total moment = 0.6467 μB per atom
Density of states at the Fermi level = 16.1 states/eV/cell
E_form (uncorrected) = -0.89 eV/atom
V = 84 Å³/f.u.

a = 3.3974 Å, b = 7.0655 Å, c = 7.1130 Å
α = 99.34°, β = 90.00°, γ = 90.00°
Last column: nearest neighbours and their distance in Å.
Sites, in units of the cell vectors:
1 Ce 0.7500 0.8340 0.7945  7 N 2.38-2.65
2 Pu 0.2500 0.6523 0.1804  6 N 2.24-2.45
3 N 0.7500 0.8751 0.1333  1 Ni 2.02
4 N 0.2500 0.8134 0.5132  3 Ni 1.95-2.01
5 Ni 0.2500 0.1014 0.5802  4 N 1.95-2.02
6 N 0.7500 0.4178 0.1388  3 Pu 2.24-2.36
7 Ni 0.7500 0.8986 0.4198  4 N 1.95-2.02
8 N 0.2500 0.1249 0.8667  1 Ni 2.02
9 Ce 0.2500 0.1660 0.2055  7 N 2.38-2.65
10 N 0.7500 0.1866 0.4868  3 Ni 1.95-2.01
11 N 0.2500 0.5822 0.8612  3 Pu 2.24-2.36
12 Pu 0.7500 0.3477 0.8196  6 N 2.24-2.45

DFT (PBE) results for a relaxed structure of CeReNi2N4.

## Properties
Size of the total moment = 0.0002 μB per atom
Density of states at the Fermi level = 5.9 states/eV/cell
E_form (uncorrected) = -0.40 eV/atom
V = 94 Å³/f.u.

a = 5.0308 Å, b = 5.0308 Å, c = 5.0308 Å
α = 95.43°, β = 116.92°, γ = 116.92°
Last column: nearest neighbours and their distance in Å.
Sites, in units of the cell vectors:
1 Ni 0.5000 0.2500 0.7500  4 N 1.97
2 N 0.3932 0.8731 0.8731  1 Re 1.89, 2 Ni 1.97
3 Re 0.0000 0.5000 0.5000  4 N 1.89
4 N 0.0000 0.5201 0.1269  1 Re 1.89, 2 Ni 1.97
5 N 0.6068 0.4799 0.4799  1 Re 1.89, 2 Ni 1.97
6 N 0.0000 0.1269 0.5201  1 Re 1.89, 2 Ni 1.97
7 Ni 0.5000 0.7500 0.2500  4 N 1.97
8 Ce 0.0000 0.0000 0.0000  8 N 2.55-2.63

Which formula does entry 2 have? Ce2PaNiN4

What is the size of the total moment in the seventh record? 0.6467 μB per atom